This record from the Alexandria database describes LiIrRhF2 after structural relaxation. The functional is GGA-PBEsol. Values from VASP.

The structure in Quantum ESPRESSO input format:
```
&SYSTEM
  ibrav = 0, nat = 5, ntyp = 4
/
ATOMIC_SPECIES
Ir 192.22 Ir.upf
F 19.00 F.upf
Li 6.94 Li.upf
Rh 102.91 Rh.upf
CELL_PARAMETERS angstrom
3.854 0.000 0.000
0.000 3.854 0.000
0.000 0.000 5.514
ATOMIC_POSITIONS angstrom
Ir 1.927 1.927 2.757
F 1.927 0.000 0.000
F 0.000 1.927 0.000
Li 0.000 0.000 2.757
Rh 0.000 0.000 0.000
```

Energy relative to the elements, uncorrected in eV per atom: 0.40
Spin magnetization in μB/atom: 0.5679
Crystal system: tetragonal
Volume in Å³ per cell: 82